This record from Alexandria describes a relaxed MnBeCoNi crystal. The functional is PBE-GGA.

As for the crystal system: cubic.

POSCAR file:
```
MnBeCoNi
1.0
5.502 0.000 0.000
0.000 5.502 0.000
0.000 0.000 5.502
Mn Be Co Ni
4 4 4 4
Direct
0.000 0.000 0.000
0.000 0.500 0.500
0.500 0.000 0.500
0.500 0.500 0.000
0.000 0.000 0.500
0.000 0.500 0.000
0.500 0.000 0.000
0.500 0.500 0.500
0.250 0.250 0.750
0.250 0.750 0.250
0.750 0.250 0.250
0.750 0.750 0.750
0.250 0.250 0.250
0.250 0.750 0.750
0.750 0.250 0.750
0.750 0.750 0.250
```

---

This record from Alexandria describes a relaxed Mn5Be2CoRe2 crystal. The functional is PBE-GGA.

As for the crystal system: tetragonal.

POSCAR file:
```
Mn5Be2CoRe2
1.0
8.588 0.000 0.000
0.000 8.588 0.000
0.000 0.000 3.039
Mn Be Co Re
10 4 2 4
Direct
0.000 0.500 0.000
0.063 0.207 0.000
0.207 0.937 0.000
0.293 0.437 0.000
0.437 0.707 0.000
0.500 0.000 0.000
0.563 0.293 0.000
0.707 0.563 0.000
0.793 0.063 0.000
0.937 0.793 0.000
0.123 0.377 0.500
0.377 0.877 0.500
0.623 0.123 0.500
0.877 0.623 0.500
0.000 0.000 0.500
0.500 0.500 0.500
0.176 0.676 0.500
0.324 0.176 0.500
0.676 0.824 0.500
0.824 0.324 0.500
```

---

This record from Alexandria describes a relaxed MnBeCoRe crystal. The functional is PBE-GGA.

As for the crystal system: cubic.

POSCAR file:
```
MnBeCoRe
1.0
5.662 0.000 0.000
0.000 5.662 0.000
0.000 0.000 5.662
Mn Be Co Re
4 4 4 4
Direct
0.000 0.000 0.000
0.000 0.500 0.500
0.500 0.000 0.500
0.500 0.500 0.000
0.250 0.250 0.750
0.250 0.750 0.250
0.750 0.250 0.250
0.750 0.750 0.750
0.000 0.000 0.500
0.000 0.500 0.000
0.500 0.000 0.000
0.500 0.500 0.500
0.250 0.250 0.250
0.250 0.750 0.750
0.750 0.250 0.750
0.750 0.750 0.250
```

---

This record from Alexandria describes a relaxed ScMn2BeCo crystal. The functional is PBE-GGA.

As for the crystal system: tetragonal.

POSCAR file:
```
ScMn2BeCo
1.0
4.377 0.000 0.000
0.000 4.377 0.000
0.000 0.000 4.454
Sc Mn Be Co
1 2 1 1
Direct
0.000 0.000 0.000
0.000 0.500 0.000
0.500 0.000 0.000
0.000 0.000 0.500
0.500 0.500 0.500
```

---

Number 1: raw total energy -6.610 eV/atom, energy of formation from the pure elements -164 meV per atom, total magnetic moment 16.1 Bohr magnetons per cell. Number 2: raw total energy -8.458 eV/atom, energy of formation from the pure elements 72 meV per atom, total magnetic moment 18.0 Bohr magnetons per cell. Number 3: raw total energy -8.106 eV/atom, energy of formation from the pure elements 7 meV per atom, total magnetic moment 3.3 Bohr magnetons per cell. Number 4: raw total energy -5.372 eV/atom, energy of formation from the pure elements 1728 meV per atom, total magnetic moment 7.0 Bohr magnetons per cell.